A relaxed structure of Sm3Dy3Te2Pt, computed with PBE.

a = 8.4713 Å, b = 8.4713 Å, c = 4.0189 Å
α = 90.00°, β = 90.00°, γ = 120.00°
Space group P-62m (No. 189)
One atom of each set of equivalent atoms:
Sm1 0.0000 0.5945 0.0000 x3
Dy1 0.0000 0.2424 0.5000 x3
Te1 0.3333 0.6667 0.5000 x2
Pt1 0.0000 0.0000 0.0000 x1

raw total energy: -48.765 eV per cell
total magnetic moment: 0.012 μB per formula unit
polymorph energy (0 for the lowest one): 0.0 kJ/mol of atoms